Ba2PmPrSe4: optimized geometry, PBE-GGA.

## Properties
space-group type = P2/m (10)
DFT total energy = -5.330 eV/atom
spin magnetization = 0.00 μB/atom
V = 31.1 Å³/atom

Unit cell a=7.603 b=4.399 c=7.869 alpha=90.00 beta=108.87 gamma=90.00
Atoms (fractional coordinates):
Ba: 0.000 0.000 0.000
Ba: 0.500 0.500 0.000
Pm: 0.000 0.500 0.500
Pr: 0.500 0.000 0.500
Se: 0.238 0.000 0.722
Se: 0.256 0.500 0.277
Se: 0.744 0.500 0.723
Se: 0.762 0.000 0.278